The following is a DFT calculation (PBE+U) of PmTiFe2O6 after structural relaxation.

Crystal system: triclinic
E_tot, eV/atom: -7.670
Volume, A^3/atom: 11.8
Spin magnetization, Bohr magnetons per cell: 6.95

abc: 5.2470 5.3129 5.6679
angles: 63.08 63.68 61.33
With the nearest neighbours (Å) after each atom.
Fractional positions:
Pm1 0.8074 0.7944 0.6112  4 O 2.26-2.48
Ti1 0.3156 0.3214 0.0522  6 O 1.91-2.09
Fe1 0.5206 0.5190 0.4319  6 O 2.04-2.23
Fe2 0.0185 0.0087 0.9670  5 O 1.92-2.08
O1 0.5860 0.2402 0.2379  1 Ti 1.91, 1 Fe 2.04
O2 0.2251 0.9488 0.2223  1 Ti 1.96, 2 Fe 2.00-2.19
O3 0.9416 0.6127 0.2111  1 Ti 1.96, 2 Fe 2.05-2.18
O4 0.3657 0.7126 0.7487  1 Ti 2.06, 2 Fe 2.08-2.13, 1 Pm 2.29
O5 0.7237 0.1587 0.7681  1 Fe 1.96, 1 Ti 2.09
O6 0.1575 0.3450 0.7648  1 Fe 1.92, 1 Ti 2.07